The following is a DFT calculation (GGA-PBE) of KAu3Cl after structural relaxation.

The volume is 29.0 Å³/atom. The uncorrected formation energy is 40 kJ/mol of atoms. The energy relative to the lowest polymorph listed for this composition is 0.0 kJ/mol of atoms.

Unit cell a=5.2521 b=5.2521 c=5.2521 alpha=90.00 beta=90.00 gamma=90.00
Closest atoms and distances in Å follow each position.
Sites, in units of the cell vectors:
K: 0.5000 0.5000 0.5000  12 Au 3.71
Au: 0.0000 0.5000 0.0000  2 Cl 2.63
Au: 0.0000 0.0000 0.5000  2 Cl 2.63
Au: 0.5000 0.0000 0.0000  2 Cl 2.63
Cl: 0.0000 0.0000 0.0000  6 Au 2.63